{
  "formula": "SrZnCoS3",
  "functional": "PBE",
  "state": "relaxed",
  "de_polymorph_mev_per_atom": 0,
  "magmom_total_mub_per_fu": 3.0,
  "space_group": "No. 63",
  "cell": [[-1.1905, 3.1376, 1.8537], [-5.8705, -1.5695, 2.8508], [4.6236, -2.9208, 7.9132]],
  "species": ["S", "Co", "Sr", "Zn", "S", "Zn", "S", "S", "S", "Sr", "Co", "S"],
  "frac_coords": [[0.6315, 0.7371, 0.0577], [0.5295, 0.9410, 0.2500], [0.2530, 0.4940, 0.2500], [0.0000, 0.0000, 0.5000], [0.0671, 0.8657, 0.7500], [0.0000, 0.0000, 0.0000], [0.9329, 0.1343, 0.2500], [0.3685, 0.2629, 0.5577], [0.6315, 0.7371, 0.4423], [0.7470, 0.5060, 0.7500], [0.4705, 0.0590, 0.7500], [0.3685, 0.2629, 0.9423]]
}

---

{
  "formula": "LiReGeTe",
  "functional": "PBE",
  "state": "relaxed",
  "de_polymorph_mev_per_atom": 525,
  "magmom_total_mub_per_fu": 0.9,
  "space_group": "No. 216",
  "cell": [[-3.1297, -3.3182, 0.7023], [-4.4947, 1.0449, 0.0705], [-2.7392, -1.3575, -3.4573]],
  "species": ["Re", "Te", "Li", "Ge"],
  "frac_coords": [[0.5000, 0.5000, 0.5000], [0.0000, 0.0000, 0.0000], [0.7500, 0.7500, 0.7500], [0.2500, 0.2500, 0.2500]]
}

---

{
  "formula": "Dy2HoEr3Bi2Os",
  "functional": "PBE",
  "state": "relaxed",
  "final_energy_ev_per_cell": -51.56,
  "magmom_total_mub_per_fu": 0.0,
  "space_group": "No. 38",
  "cell": [[-3.6437, 0.5473, -2.0544], [0.4487, -7.7388, -2.8573], [-3.8102, 1.5376, 7.1674]],
  "species": ["Dy", "Dy", "Ho", "Er", "Bi", "Os", "Er", "Er", "Bi"],
  "frac_coords": [[0.0000, 0.7648, 0.0000], [0.0000, 0.0000, 0.7648], [0.0000, 0.2349, 0.2349], [0.5000, 0.6147, 0.6147], [0.0000, 0.6661, 0.3333], [0.5000, 0.0011, 0.0011], [0.5000, 0.0002, 0.3849], [0.5000, 0.3849, 0.0002], [0.0000, 0.3333, 0.6661]]
}

---

{
  "formula": "PuSn3",
  "functional": "PBE",
  "state": "relaxed",
  "final_energy_ev_per_cell": -27.78,
  "magmom_total_mub_per_fu": 5.6,
  "space_group": "No. 221",
  "cell": [[4.6737, 0.0000, 0.0000], [0.0000, 4.6737, 0.0000], [0.0000, 0.0000, 4.6737]],
  "species": ["Sn", "Sn", "Sn", "Pu"],
  "frac_coords": [[0.0000, 0.5000, 0.5000], [0.5000, 0.5000, 0.0000], [0.5000, 0.0000, 0.5000], [0.0000, 0.0000, 0.0000]]
}

---

{
  "formula": "Sr2AlSiIr2",
  "functional": "PBE",
  "state": "relaxed",
  "final_energy_ev_per_cell": -34.21,
  "magmom_total_mub_per_fu": 0.0,
  "space_group": "No. 99",
  "cell": [[4.2780, 0.0000, 0.0000], [0.0000, 4.2780, 0.0000], [0.0000, 0.0000, 7.7607]],
  "species": ["Si", "Sr", "Al", "Ir", "Ir", "Sr"],
  "frac_coords": [[0.5000, 0.5000, 0.6527], [0.5000, 0.5000, 0.1778], [0.0000, 0.0000, 0.3379], [0.5000, 0.0000, 0.5076], [0.0000, 0.5000, 0.5076], [0.0000, 0.0000, 0.8164]]
}

---

{
  "formula": "Tb6TlNi2",
  "functional": "PBE",
  "state": "relaxed",
  "final_energy_ev_per_cell": -88.12,
  "magmom_total_mub_per_fu": 0.0,
  "space_group": "No. 71",
  "cell": [[-4.6670, 4.9081, 5.0801], [4.6670, -4.9081, 5.0801], [4.6670, 4.9081, -5.0801]],
  "species": ["Tb", "Tl", "Ni", "Tb", "Tl", "Ni", "Tb", "Tb", "Ni", "Tb", "Tb", "Tb", "Tb", "Ni", "Tb", "Tb", "Tb", "Tb"],
  "frac_coords": [[0.3244, 0.6327, 0.3084], [0.5000, 0.5000, 0.0000], [0.8771, 0.3771, 0.5000], [0.8171, 0.2936, 0.1107], [0.0000, 0.0000, 0.0000], [0.1229, 0.6229, 0.5000], [0.8171, 0.7064, 0.5235], [0.0274, 0.2318, 0.7956], [0.3569, 0.0000, 0.3569], [0.1829, 0.2936, 0.4765], [0.6756, 0.3673, 0.6916], [0.5637, 0.7682, 0.7956], [0.1829, 0.7064, 0.8893], [0.6431, 0.0000, 0.6431], [0.4363, 0.2318, 0.2044], [0.9726, 0.7682, 0.2044], [0.3244, 0.0160, 0.6916], [0.6756, 0.9840, 0.3084]]
}

---

{
  "formula": "Tl11Au8",
  "functional": "PBE",
  "state": "relaxed",
  "final_energy_ev_per_cell": -104.31,
  "space_group": "No. 63",
  "cell": [[6.7884, -2.0007, 0.0000], [6.7884, 2.0007, 0.0000], [-0.0008, 0.0000, 37.3622]],
  "species": ["Au", "Au", "Tl", "Tl", "Au", "Tl", "Tl", "Au", "Tl", "Au", "Tl", "Au", "Au", "Tl", "Tl", "Au", "Au", "Tl", "Tl", "Tl", "Au", "Au", "Tl", "Tl", "Au", "Tl", "Tl", "Tl", "Tl", "Au", "Tl", "Au", "Au", "Tl", "Au", "Tl", "Tl", "Tl"],
  "frac_coords": [[0.7508, 0.7508, 0.1805], [0.7415, 0.7415, 0.9406], [0.0838, 0.0838, 0.5702], [0.8369, 0.8369, 0.2500], [0.9690, 0.9690, 0.6330], [0.3276, 0.3276, 0.6094], [0.1632, 0.1632, 0.7500], [0.2492, 0.2492, 0.6806], [0.5977, 0.5977, 0.6658], [0.7508, 0.7508, 0.3194], [0.3509, 0.3509, 0.9850], [0.2492, 0.2492, 0.8195], [0.0000, 0.0000, 0.5000], [0.8901, 0.8901, 0.7057], [0.1099, 0.1099, 0.2057], [0.2585, 0.2585, 0.0594], [0.5058, 0.5058, 0.7500], [0.6491, 0.6491, 0.0150], [0.6491, 0.6491, 0.4850], [0.4023, 0.4023, 0.1658], [0.4943, 0.4943, 0.2500], [0.9690, 0.9690, 0.8670], [0.5977, 0.5977, 0.8342], [0.8901, 0.8901, 0.7943], [0.7415, 0.7415, 0.5594], [0.6724, 0.6724, 0.3906], [0.3509, 0.3509, 0.5150], [0.6724, 0.6724, 0.1094], [0.0838, 0.0838, 0.9298], [0.2584, 0.2584, 0.4406], [0.9162, 0.9162, 0.4298], [0.0310, 0.0310, 0.1330], [0.0000, 0.0000, 0.0000], [0.3276, 0.3276, 0.8906], [0.0310, 0.0310, 0.3670], [0.9162, 0.9162, 0.0702], [0.4023, 0.4023, 0.3342], [0.1099, 0.1099, 0.2943]]
}

---

{
  "formula": "Nd2GdSn3Ir2Pd",
  "functional": "PBE",
  "state": "relaxed",
  "final_energy_ev_per_cell": -56.52,
  "magmom_total_mub_per_fu": 0.0,
  "space_group": "No. 38",
  "cell": [[4.1016, 0.0000, 0.0000], [0.0000, 6.5289, 3.7829], [0.0000, -6.5289, 3.7829]],
  "species": ["Gd", "Nd", "Sn", "Sn", "Ir", "Nd", "Sn", "Pd", "Ir"],
  "frac_coords": [[0.0000, 0.5875, 0.5875], [0.0000, 0.4139, 0.0006], [0.5000, 0.7417, 0.9984], [0.5000, 0.9984, 0.7417], [0.5000, 0.6649, 0.3376], [0.0000, 0.0006, 0.4139], [0.5000, 0.2587, 0.2587], [0.0000, 0.9967, 0.9967], [0.5000, 0.3376, 0.6649]]
}

---

{
  "formula": "K2Ag2O3",
  "functional": "PBE",
  "state": "relaxed",
  "final_energy_ev_per_cell": -52.85,
  "space_group": "No. 14",
  "cell": [[6.2583, 0.0000, 0.0000], [0.0000, 6.3373, 0.0000], [-2.8694, 0.0000, 5.9883]],
  "species": ["K", "O", "Ag", "Ag", "K", "K", "O", "O", "Ag", "Ag", "O", "O", "O", "K"],
  "frac_coords": [[0.6910, 0.8232, 0.9027], [0.8292, 0.0712, 0.2655], [0.1955, 0.6851, 0.9513], [0.8045, 0.3149, 0.0487], [0.3090, 0.1768, 0.0973], [0.6910, 0.6768, 0.4027], [0.5000, 0.0000, 0.5000], [0.1708, 0.5712, 0.2345], [0.8045, 0.1851, 0.5487], [0.1955, 0.8149, 0.4513], [0.1708, 0.9288, 0.7345], [0.8292, 0.4288, 0.7655], [0.5000, 0.5000, 0.0000], [0.3090, 0.3232, 0.5973]]
}

---

{
  "formula": "ZrTlAgTe3",
  "functional": "PBE",
  "state": "relaxed",
  "de_polymorph_mev_per_atom": 91,
  "magmom_total_mub_per_fu": 0.0,
  "space_group": "No. 62",
  "cell": [[8.3505, 0.0000, 0.0000], [0.0000, 4.4467, 0.0000], [0.0000, 0.0000, 18.6805]],
  "species": ["Te", "Te", "Te", "Zr", "Zr", "Tl", "Te", "Ag", "Tl", "Te", "Tl", "Zr", "Te", "Te", "Ag", "Te", "Tl", "Ag", "Te", "Te", "Te", "Te", "Ag", "Zr"],
  "frac_coords": [[0.8749, 0.7500, 0.5449], [0.4968, 0.2500, 0.5742], [0.8264, 0.2500, 0.3035], [0.2431, 0.7500, 0.5469], [0.7431, 0.7500, 0.9531], [0.1376, 0.7500, 0.3109], [0.1736, 0.7500, 0.6965], [0.9917, 0.2500, 0.1714], [0.3624, 0.2500, 0.8109], [0.3264, 0.2500, 0.1965], [0.8624, 0.2500, 0.6891], [0.7569, 0.2500, 0.4531], [0.6251, 0.2500, 0.0449], [0.6736, 0.7500, 0.8035], [0.4917, 0.2500, 0.3286], [0.9968, 0.2500, 0.9258], [0.6376, 0.7500, 0.1891], [0.0083, 0.7500, 0.8286], [0.1251, 0.2500, 0.4551], [0.5032, 0.7500, 0.4258], [0.0032, 0.7500, 0.0742], [0.3749, 0.7500, 0.9551], [0.5083, 0.7500, 0.6714], [0.2569, 0.2500, 0.0469]]
}

---

{
  "formula": "TmNpIn",
  "functional": "PBE",
  "state": "relaxed",
  "de_polymorph_mev_per_atom": 0,
  "magmom_total_mub_per_fu": 5.3,
  "space_group": "No. 216",
  "cell": [[-4.2505, -2.7511, 0.9623], [-2.0613, 0.0095, 4.7236], [-4.4829, 2.3962, 0.8505]],
  "species": ["In", "Np", "Tm"],
  "frac_coords": [[0.0000, 0.0000, 0.0000], [0.2500, 0.2500, 0.2500], [0.7500, 0.7500, 0.7500]]
}

---

{
  "formula": "ZrBi",
  "functional": "PBE",
  "state": "relaxed",
  "final_energy_ev_per_cell": -26.10,
  "magmom_total_mub_per_fu": 0.0,
  "space_group": "No. 51",
  "cell": [[-0.6345, 0.9592, -5.1944], [-2.2723, -2.5368, -0.1909], [-3.9201, 3.4278, 1.1118]],
  "species": ["Bi", "Zr", "Zr", "Bi"],
  "frac_coords": [[0.4160, 0.5000, 0.0000], [0.9159, 0.0000, 0.0000], [0.4174, 0.0000, 0.5000], [0.9174, 0.5000, 0.5000]]
}

---

Calculated density: 4.31; 9.40; 10.65; 9.76; 7.19; 9.10; 12.51; 10.60; 4.78; 7.53; 8.93; 10.32 (g/cm³)